# 1
A relaxed Pr5Dy2Ho12 crystal, computed with PBE-GGA.

a b c (Å): 7.0564 9.8524 10.4157
angles (deg): 70.22 90.00 110.98
Fractional coordinates of all 19 atoms:
Ho 0.5014 0.0029 0.3242
Ho 0.4052 0.3154 0.1323
Dy 0.2730 0.0000 0.0000
Pr 0.3193 0.6386 0.2110
Pr 0.0000 0.0000 0.5000
Ho 0.4160 0.3264 0.4797
Pr 0.6807 0.3614 0.7890
Ho 0.9752 0.9503 0.2457
Ho 0.9104 0.3264 0.4797
Ho 0.0898 0.6846 0.8677
Ho 0.0896 0.6736 0.5203
Ho 0.9102 0.3154 0.1323
Ho 0.5840 0.6736 0.5203
Ho 0.5948 0.6846 0.8677
Pr 0.8131 0.6262 0.1805
Ho 0.0248 0.0497 0.7543
Pr 0.1869 0.3738 0.8195
Ho 0.4986 0.9971 0.6758
Dy 0.7270 0.0000 0.0000

## Properties
Energy relative to the elements ... 0.179 eV/atom
Crystal system ... monoclinic
D(E_F) ... 1.451 states/eV per atom
Energy above the lowest structure with this stoichiometry ... 15.2 kJ/mol of atoms
Theoretical density ... 7.93 g cm⁻³
Space-group type ... C2/m (12)


# 2
A relaxed Mg2ZnTcBr crystal, computed with PBE-GGA.

a b c (Å): 5.0157 4.5958 5.0157
angles (deg): 90.00 90.00 90.00
Fractional coordinates of all 5 atoms:
Tc 0.0000 0.5000 0.0000
Mg 0.5000 0.0000 0.0000
Br 0.0000 0.0000 0.0000
Mg 0.0000 0.0000 0.5000
Zn 0.5000 0.5000 0.5000

## Properties
Crystal system ... tetragonal
D(E_F) ... 0.614 states/eV per atom
Energy relative to the elements, uncorrected ... 0.92 eV per atom
Theoretical density ... 4.19 g cm⁻³
Space-group type ... P4/mmm (123)


# 3
A relaxed ReAsPb4 crystal, computed with PBE-GGA.

a b c (Å): 6.2558 6.2558 6.2558
angles (deg): 60.00 60.00 60.00
Site moments in Bohr magnetons follow the coordinates.
Fractional coordinates of all 6 atoms:
Pb 0.3754 0.3754 0.8738  -0.04
As 0.0000 0.0000 0.0000  -0.09
Pb 0.3754 0.8738 0.3754  -0.04
Pb 0.8738 0.3754 0.3754  -0.04
Pb 0.3754 0.3754 0.3754  -0.04
Re 0.7500 0.7500 0.7500  2.98

## Properties
Energy relative to the elements ... 1.216 eV/atom
Crystal system ... cubic
D(E_F) ... 0.752 states/eV per atom
Theoretical density ... 10.45 g cm⁻³
Space-group type ... F-43m (216)


# 4
A relaxed Ce4MgIn2 crystal, computed with PBE-GGA.

a b c (Å): 5.9551 5.9550 7.4821
angles (deg): 113.46 113.45 90.00
Site moments in Bohr magnetons follow the coordinates.
Fractional coordinates of all 7 atoms:
Ce 0.0000 0.5000 0.0000  1.12
Ce 0.7500 0.2500 0.5000  1.11
In 0.6244 0.6244 0.2489  -0.03
In 0.3756 0.3756 0.7511  -0.03
Ce 0.5000 0.0000 0.0000  1.12
Mg 0.0000 0.0000 0.0000  0.04
Ce 0.2500 0.7500 0.5000  1.11

## Properties
Energy relative to the elements ... 0.208 eV/atom
Crystal system ... tetragonal
D(E_F) ... 3.831 states/eV per atom
Theoretical density ... 6.17 g cm⁻³
Space-group type ... I4/mmm (139)